Here is a PBEsol-optimized structure of Cs2TlAsBr6 from Alexandria. Energies are from SCAN.

POSCAR file:
```
Cs2TlAsBr6
1.0
0.000 5.661 5.661
5.661 0.000 5.661
5.661 5.661 0.000
Cs Tl As Br
2 1 1 6
direct
0.250 0.250 0.250
0.750 0.750 0.750
0.000 0.000 0.000
0.500 0.500 0.500
0.267 0.267 0.733
0.267 0.733 0.267
0.267 0.733 0.733
0.733 0.267 0.267
0.733 0.267 0.733
0.733 0.733 0.267
```

Summary:
space group	Fm-3m (225)
formation energy (no corrections)	-12.1	eV/f.u.
calculated volume	363	Å³ per cell
crystal system	cubic
total magnetic moment	0.00	Bohr magnetons per cell

Here is a PBEsol-optimized structure of CuAs4Br from Alexandria. Energies are from SCAN.

POSCAR file:
```
CuAs4Br
1.0
0.000 4.004 4.004
4.004 0.000 4.004
4.004 4.004 0.000
Cu As Br
1 4 1
direct
0.000 0.000 0.000
0.389 0.389 0.389
0.389 0.389 0.832
0.389 0.832 0.389
0.832 0.389 0.389
0.750 0.750 0.750
```

Summary:
space group	F-43m (216)
formation energy (no corrections)	3.1	eV/f.u.
calculated volume	128	Å³ per cell
crystal system	cubic
total magnetic moment	0.00	Bohr magnetons per cell

Here is a PBEsol-optimized structure of CuAsBr2 from Alexandria. Energies are from SCAN.

POSCAR file:
```
CuAsBr2
1.0
3.458 0.000 0.000
0.000 4.445 0.000
0.000 0.000 5.456
Cu As Br
1 1 2
direct
0.000 0.000 0.000
0.500 0.500 0.500
0.000 0.000 0.500
0.500 0.500 0.000
```

Summary:
space group	Pmmm (47)
formation energy (no corrections)	1.4	eV/f.u.
ΔE to the lowest computed polymorph	7.48	kJ per mole of atoms
calculated volume	84	Å³ per cell
crystal system	orthorhombic
total magnetic moment	0.00	Bohr magnetons per cell